one:
LaTlZnTe3 | PBE | relaxed

Calculated values
Its calculated volume is 839.98 Å³ per cell.

```
LaTlZnTe3
1.0
-3.925 7.333 8.836
-3.305 -2.897 0.936
9.171 -7.211 10.059
Te La Zn Tl
12 4 4 4
direct
0.244 0.250 0.178
0.055 0.750 0.380
0.744 0.250 0.322
0.410 0.750 0.396
0.910 0.750 0.104
0.090 0.250 0.896
0.555 0.750 0.120
0.590 0.250 0.604
0.445 0.250 0.880
0.756 0.750 0.822
0.256 0.750 0.678
0.945 0.250 0.620
0.511 0.750 0.739
0.489 0.250 0.261
0.989 0.250 0.239
0.011 0.750 0.761
0.740 0.750 0.215
0.760 0.250 0.715
0.260 0.250 0.785
0.240 0.750 0.285
0.780 0.750 0.505
0.720 0.250 0.005
0.280 0.750 0.995
0.220 0.250 0.495
```



two:
LaTlZnTe3 | PBE | relaxed

Calculated values
Its calculated volume is 788.17 Å³ per cell.

```
LaTlZnTe3
1.0
12.679 0.000 0.000
0.000 4.623 0.000
0.000 0.000 13.445
Tl Te La Zn
4 12 4 4
direct
0.680 0.000 0.504
0.820 0.500 0.004
0.180 0.000 0.996
0.320 0.500 0.496
0.285 0.000 0.694
0.895 0.500 0.560
0.785 0.000 0.806
0.215 0.500 0.194
0.605 0.000 0.060
0.044 0.500 0.851
0.105 0.000 0.440
0.544 0.500 0.649
0.395 0.500 0.940
0.715 0.500 0.306
0.956 0.000 0.149
0.456 0.000 0.351
0.477 0.500 0.181
0.023 0.000 0.681
0.977 0.500 0.319
0.523 0.000 0.819
0.246 0.500 0.798
0.746 0.500 0.702
0.254 0.000 0.298
0.754 0.000 0.202
```



Last place for stability: two



one:
LaTm2 | PBE | relaxed

Calculated values
Its calculated volume is 212.51 Å³ per cell.

```
LaTm2
1.0
0.000 4.736 4.736
4.736 0.000 4.736
4.736 4.736 0.000
La Tm
2 4
direct
0.250 0.250 0.250
0.000 0.000 0.000
0.625 0.125 0.625
0.625 0.625 0.625
0.625 0.625 0.125
0.125 0.625 0.625
```



two:
LaTm2 | PBE | relaxed

Calculated values
Its calculated volume is 816.25 Å³ per cell.

```
LaTm2
1.0
5.245 3.028 8.565
-5.245 3.028 8.565
0.000 -6.056 8.565
Tm La
4 2
direct
0.375 0.875 0.375
0.375 0.375 0.875
0.375 0.375 0.375
0.875 0.375 0.375
0.250 0.250 0.250
0.500 0.500 0.500
```



Last place for stability: two